Material: TlPb3
Method: DFT, PBE-GGA
State: relaxed

a b c (Å): 5.643 5.643 5.643
angles (deg): 60.00 60.00 60.00
Sites, in units of the cell vectors:
Pb 0.000 0.000 0.000
Pb 0.500 0.500 0.500
Pb 0.250 0.250 0.250
Tl 0.750 0.750 0.750

Energy of formation from the pure elements: 31.7 meV/atom
Spin magnetization: 0.00 μB/cell
Calculated total energy: -0.2456 Ry per atom